This record from the Alexandria database describes an optimized crystal structure of NaCrF3. The functional is GGA+U.

Cell and atoms, written as POSCAR:
```
NaCrF3
1.0
-0.1770 -4.1431 -0.2076
3.4637 -0.0332 -2.2894
2.2828 -0.2708 3.4576
Cr F Na
1 3 1
Cartesian
0.0000 0.0000 0.0000 Cr
1.7318 -0.0166 -1.1447 F
1.1414 -0.1354 1.7288 F
-0.0885 -2.0716 -0.1038 F
2.7848 -2.2236 0.4803 Na
```

The electronic total energy comes out at -26.8 eV for the cell shown. The energy above the most stable polymorph in this dataset comes out at 0.139 eV/atom. The total moment is 4.00 μB per formula unit. The value obtained for the density of states at the Fermi level is 1.17 states/eV per cell. As for the calculated density: 3.06 g/cm3.